# SrCa2ZrRu (PBE, relaxed)
# E	-19.9	eV per cell
data_SrCa2ZrRu
_cell_length_a 5.422
_cell_length_b 5.422
_cell_length_c 5.591
_cell_angle_alpha 90.00
_cell_angle_beta 90.00
_cell_angle_gamma 90.00
_symmetry_space_group_name_H-M 'P 1'
_symmetry_Int_Tables_number 1
_symmetry_space_group_name_Hall 'P 1'
loop_
_atom_site_label
_atom_site_fract_x
_atom_site_fract_y
_atom_site_fract_z
_atom_site_occupancy
Sr1 0.000 0.000 0.000 1
Ca1 0.000 0.500 0.500 1
Ca2 0.500 0.000 0.500 1
Zr1 0.500 0.500 0.000 1
Ru1 0.000 0.000 0.500 1

=====

# Mg4TePd15 (PBE, relaxed)
# formation energy without anion corrections	-8.478	eV per formula unit
data_Mg4TePd15
_cell_length_a 3.992
_cell_length_b 3.992
_cell_length_c 19.958
_cell_angle_alpha 90.00
_cell_angle_beta 90.00
_cell_angle_gamma 90.00
_symmetry_space_group_name_H-M 'P 1'
_symmetry_Int_Tables_number 1
_symmetry_space_group_name_Hall 'P 1'
loop_
_atom_site_label
_atom_site_fract_x
_atom_site_fract_y
_atom_site_fract_z
_atom_site_occupancy
Mg1 0.000 0.000 0.099 1
Mg2 0.000 0.000 0.295 1
Mg3 0.000 0.000 0.705 1
Mg4 0.000 0.000 0.901 1
Te1 0.000 0.000 0.500 1
Pd1 0.000 0.500 0.000 1
Pd2 0.000 0.500 0.197 1
Pd3 0.000 0.500 0.396 1
Pd4 0.000 0.500 0.604 1
Pd5 0.000 0.500 0.803 1
Pd6 0.500 0.000 0.000 1
Pd7 0.500 0.000 0.197 1
Pd8 0.500 0.000 0.396 1
Pd9 0.500 0.000 0.604 1
Pd10 0.500 0.000 0.803 1
Pd11 0.500 0.500 0.098 1
Pd12 0.500 0.500 0.297 1
Pd13 0.500 0.500 0.500 1
Pd14 0.500 0.500 0.703 1
Pd15 0.500 0.500 0.902 1

=====

Number 1: magnetic moment 1.56 μB/cell, calculated volume 164 Å³/cell. Number 2: magnetic moment 0.00 μB/cell, calculated volume 318 Å³/cell.